First-principles (GGA-PBE) data for an optimized crystal structure of DyPuF, as listed in Alexandria via LeMat-Bulk.

As for the total energy: -25.0 eV per formula unit. For the formation energy (no corrections), the calculation gives -1.39 eV per atom.

a = 5.9517 Å, b = 5.9517 Å, c = 7.6825 Å
α = 67.21°, β = 67.21°, γ = 60.00°
Each line ends with the local moment (μB).
Element x y z (fractional)
Dy 0.9947 0.9947 0.0160  -0.05
Dy 0.3281 0.3281 0.0158  -0.05
Dy 0.6613 0.6613 0.0162  -0.05
Pu 0.4672 0.8006 0.5986  5.60
Pu 0.1336 0.4672 0.5986  5.60
Pu 0.8006 0.1336 0.5986  5.60
F 0.5875 0.9218 0.2367  0.00
F 0.9218 0.2540 0.2367  0.00
F 0.2540 0.5875 0.2367  0.00